No. 1
Compound: InGa2Sn
Source: Alexandria via LeMat-Bulk
Functional: SCAN
Structure: single point on PBEsol structure

Lattice parameters (Å, degrees): 4.996 4.996 4.996 60.00 60.00 60.00
Sites, in units of the cell vectors:
In (0.000, 0.000, 0.000)
Ga (0.250, 0.250, 0.250)
Ga (0.750, 0.750, 0.750)
Sn (0.500, 0.500, 0.500)

## Properties
Space-group type: Fm-3m (225)
ΔE_f: 0.671 eV per formula unit
Calculated total energy: -25.332 eV per atom

=====

No. 2
Compound: Sr2InGa
Source: Alexandria via LeMat-Bulk
Functional: SCAN
Structure: single point on PBEsol structure

Lattice parameters (Å, degrees): 5.545 5.545 5.545 60.00 60.00 60.00
Sites, in units of the cell vectors:
Sr (0.250, 0.250, 0.250)
Sr (0.750, 0.750, 0.750)
In (0.000, 0.000, 0.000)
Ga (0.500, 0.500, 0.500)

## Properties
Space-group type: Fm-3m (225)
ΔE_f: -1.919 eV per formula unit
Calculated total energy: -24.050 eV per atom

=====

No. 3
Compound: TaIn3Ga
Source: Alexandria via LeMat-Bulk
Functional: SCAN
Structure: single point on PBEsol structure

Lattice parameters (Å, degrees): 5.025 5.025 5.025 90.00 90.00 90.00
Sites, in units of the cell vectors:
Ta (0.000, 0.000, 0.000)
In (0.000, 0.500, 0.500)
In (0.500, 0.000, 0.500)
In (0.500, 0.500, 0.000)
Ga (0.500, 0.500, 0.500)

## Properties
Space-group type: Pm-3m (221)
ΔE_f: 6.071 eV per formula unit
Calculated total energy: -35.404 eV per atom

=====

No. 4
Compound: In3GaTe4
Source: Alexandria via LeMat-Bulk
Functional: SCAN
Structure: single point on PBEsol structure

Lattice parameters (Å, degrees): 6.778 6.778 6.778 104.94 104.94 118.97
Sites, in units of the cell vectors:
In (0.000, 0.000, 0.000)
In (0.000, 0.500, 0.500)
In (0.500, 0.000, 0.500)
Ga (0.500, 0.500, 0.000)
Te (0.084, 0.450, 0.000)
Te (0.450, 0.084, 0.000)
Te (0.550, 0.550, 0.634)
Te (0.916, 0.916, 0.366)

## Properties
Space-group type: I-42m (121)
Calculated total energy: -33.456 eV per atom
Energy relative to the elements, uncorrected: -0.27 eV per atom

=====

No. 5
Compound: In2Ga2Te
Source: Alexandria via LeMat-Bulk
Functional: SCAN
Structure: single point on PBEsol structure

Lattice parameters (Å, degrees): 8.528 8.528 8.528 153.88 153.88 37.27
Sites, in units of the cell vectors:
In (0.103, 0.103, 0.000)
In (0.897, 0.897, 0.000)
Ga (0.250, 0.750, 0.500)
Ga (0.750, 0.250, 0.500)
Te (0.500, 0.500, 0.000)

## Properties
Space-group type: I4/mmm (139)
Calculated total energy: -27.305 eV per atom
Energy relative to the elements, uncorrected: 0.04 eV per atom

=====

No. 6
Compound: TlIn2GaTe4
Source: Alexandria via LeMat-Bulk
Functional: SCAN
Structure: single point on PBEsol structure

Lattice parameters (Å, degrees): 6.815 6.815 6.815 118.87 105.15 104.82
Sites, in units of the cell vectors:
Tl (0.000, 0.000, 0.000)
In (0.000, 0.500, 0.500)
In (0.500, 0.000, 0.500)
Ga (0.500, 0.500, 0.000)
Te (0.138, 0.553, 0.052)
Te (0.499, 0.447, 0.585)
Te (0.501, 0.086, 0.948)
Te (0.862, 0.914, 0.415)

## Properties
Space-group type: I222 (23)
Calculated total energy: -38.379 eV per atom
Energy relative to the elements, uncorrected: -0.32 eV per atom

=====

Question: Among the records above, which one has the lowest calculated total energy?
Answer: TlIn2GaTe4

=====

Please write out number 3 again, unchanged.
Compound: TaIn3Ga
Source: Alexandria via LeMat-Bulk
Functional: SCAN
Structure: single point on PBEsol structure

Lattice parameters (Å, degrees): 5.025 5.025 5.025 90.00 90.00 90.00
Sites, in units of the cell vectors:
Ta (0.000, 0.000, 0.000)
In (0.000, 0.500, 0.500)
In (0.500, 0.000, 0.500)
In (0.500, 0.500, 0.000)
Ga (0.500, 0.500, 0.500)

## Properties
Space-group type: Pm-3m (221)
ΔE_f: 6.071 eV per formula unit
Calculated total energy: -35.404 eV per atom